NaLaCoO3 | OQMD via LeMat-Bulk | PBE with a Hubbard U | optimized geometry; calculated volume = 180 Å³/cell; magnetic moment = 0.500 μB per atom; electronic total energy = -6.3307 eV/atom
1.0
4.9935 -1.7921 0.0000
4.9935 1.7921 0.0000
0.0000 0.0000 10.0521
La Co Na O
2 2 2 6
Direct
0.0000 0.0000 0.0000
0.0000 0.0000 0.5000
0.4690 0.4690 0.2500
0.5310 0.5310 0.7500
0.2560 0.2560 0.7500
0.7440 0.7440 0.2500
0.9326 0.9326 0.7500
0.3704 0.3704 0.0877
0.0674 0.0674 0.2500
0.6296 0.6296 0.9123
0.3704 0.3704 0.4123
0.6296 0.6296 0.5877